! TaNbCoO6 GGA+U relaxed; values from VASP
! Spin magnetization: 6.1 Bohr magnetons per cell
! Total energy: -8.65 eV per atom
&SYSTEM
  ibrav = 0, nat = 18, ntyp = 4
/
ATOMIC_SPECIES
Ta 180.95 Ta.upf
Nb 92.91 Nb.upf
Co 58.93 Co.upf
O 16.00 O.upf
CELL_PARAMETERS angstrom
4.8149 0.0000 0.0000
0.0000 4.8149 0.0000
0.0000 0.0000 9.2048
ATOMIC_POSITIONS angstrom
Ta 0.0000 0.0000 0.0000
Ta 2.4074 2.4074 4.6024
Nb 0.0000 0.0000 3.1184
Nb 2.4074 2.4074 7.7208
Co 0.0000 0.0000 6.1554
Co 2.4074 2.4074 1.5529
O 0.9126 0.9126 1.5410
O 0.9777 0.9777 7.7765
O 0.9889 0.9889 4.5400
O 1.4186 3.3963 9.1424
O 1.4297 3.3851 3.1741
O 1.4948 3.3201 6.1434
O 3.3201 1.4948 6.1434
O 3.3851 1.4297 3.1741
O 3.3963 1.4186 9.1424
O 3.8260 3.8260 4.5400
O 3.8372 3.8372 7.7765
O 3.9022 3.9022 1.5410